Entry 1:
A geometry-optimized MgAg2IrO6 structure, computed with GGA-PBE.

Computed properties:
Calculated volume ... 466.3 Å³ per cell
Electronic total energy ... -5.25 eV/atom

The structure in CIF format:
```
data_MgAg2IrO6
_chemical_formula_sum 'Mg4 Ag8 Ir4 O24'
_cell_length_a 7.7548
_cell_length_b 7.7548
_cell_length_c 7.7548
_cell_angle_alpha 90.00
_cell_angle_beta 90.00
_cell_angle_gamma 90.00
_space_group_name_H-M_alt 'F m -3 m'
_space_group_IT_number 225
_space_group_name_Hall '-F 4 2 3'
loop_
_atom_site_label
_atom_site_type_symbol
_atom_site_fract_x
_atom_site_fract_y
_atom_site_fract_z
_atom_site_occupancy
Mg1 Mg 0.0000 0.0000 0.0000 1
Ag1 Ag 0.2500 0.2500 0.2500 1
Ir1 Ir 0.0000 0.0000 0.5000 1
O1 O 0.0000 0.0000 0.2575 1
```

Entry 2:
A geometry-optimized Pr3Mg3TlAgIr structure, computed with GGA-PBE.

Computed properties:
Calculated volume ... 228.3 Å³ per cell
Electronic total energy ... -4.08 eV/atom

The structure in CIF format:
```
data_Pr3Mg3TlAgIr
_chemical_formula_sum 'Pr3 Mg3 Tl1 Ag1 Ir1'
_cell_length_a 8.0334
_cell_length_b 8.0334
_cell_length_c 4.0840
_cell_angle_alpha 90.00
_cell_angle_beta 90.00
_cell_angle_gamma 120.00
_space_group_name_H-M_alt 'P -6'
_space_group_IT_number 174
_space_group_name_Hall 'P -6'
loop_
_atom_site_label
_atom_site_type_symbol
_atom_site_fract_x
_atom_site_fract_y
_atom_site_fract_z
_atom_site_occupancy
Pr1 Pr 0.0991 0.7323 0.0000 1
Mg1 Mg 0.4221 0.0866 0.5000 1
Tl1 Tl 0.0000 0.0000 0.5000 1
Ag1 Ag 0.6667 0.3333 0.0000 1
Ir1 Ir 0.3333 0.6667 0.5000 1
```

Entry 3:
A geometry-optimized MgAgIrS3 structure, computed with GGA-PBE.

Computed properties:
Calculated volume ... 462.3 Å³ per cell
Electronic total energy ... -4.69 eV/atom

The structure in CIF format:
```
data_MgAgIrS3
_chemical_formula_sum 'Mg4 Ag4 Ir4 S12'
_cell_length_a 3.6942
_cell_length_b 13.0973
_cell_length_c 9.5545
_cell_angle_alpha 90.00
_cell_angle_beta 90.00
_cell_angle_gamma 90.00
_space_group_name_H-M_alt 'C m c m'
_space_group_IT_number 63
_space_group_name_Hall '-C 2c 2'
loop_
_atom_site_label
_atom_site_type_symbol
_atom_site_fract_x
_atom_site_fract_y
_atom_site_fract_z
_atom_site_occupancy
Mg1 Mg 0.0000 0.1685 0.2500 1
Ag1 Ag 0.0000 0.1563 0.7500 1
Ir1 Ir 0.0000 0.5000 0.0000 1
S1 S 0.0000 0.1185 0.5100 1
S2 S 0.0000 0.4521 0.7500 1
```

Entry 4:
A geometry-optimized MgAgIrSe3 structure, computed with GGA-PBE.

Computed properties:
Calculated volume ... 518.0 Å³ per cell
Electronic total energy ... -4.28 eV/atom

The structure in CIF format:
```
data_MgAgIrSe3
_chemical_formula_sum 'Mg4 Ag4 Ir4 Se12'
_cell_length_a 3.8599
_cell_length_b 13.2860
_cell_length_c 10.1015
_cell_angle_alpha 90.00
_cell_angle_beta 90.00
_cell_angle_gamma 90.00
_space_group_name_H-M_alt 'C m c m'
_space_group_IT_number 63
_space_group_name_Hall '-C 2c 2'
loop_
_atom_site_label
_atom_site_type_symbol
_atom_site_fract_x
_atom_site_fract_y
_atom_site_fract_z
_atom_site_occupancy
Mg1 Mg 0.0000 0.1799 0.2500 1
Ag1 Ag 0.0000 0.1540 0.7500 1
Ir1 Ir 0.0000 0.5000 0.0000 1
Se1 Se 0.0000 0.1234 0.5093 1
Se2 Se 0.0000 0.4498 0.7500 1
```

Entry 5:
A geometry-optimized MgAgTe3Ir structure, computed with GGA-PBE.

Computed properties:
Calculated volume ... 609.9 Å³ per cell
Electronic total energy ... -3.96 eV/atom

The structure in CIF format:
```
data_MgAgTe3Ir
_chemical_formula_sum 'Mg4 Ag4 Te12 Ir4'
_cell_length_a 4.0966
_cell_length_b 13.6187
_cell_length_c 10.9324
_cell_angle_alpha 90.00
_cell_angle_beta 90.00
_cell_angle_gamma 90.00
_space_group_name_H-M_alt 'C m c m'
_space_group_IT_number 63
_space_group_name_Hall '-C 2c 2'
loop_
_atom_site_label
_atom_site_type_symbol
_atom_site_fract_x
_atom_site_fract_y
_atom_site_fract_z
_atom_site_occupancy
Mg1 Mg 0.0000 0.1886 0.2500 1
Ag1 Ag 0.0000 0.1575 0.7500 1
Te1 Te 0.0000 0.1281 0.5097 1
Te2 Te 0.0000 0.4574 0.7500 1
Ir1 Ir 0.0000 0.5000 0.0000 1
```

Entry 6:
A geometry-optimized MgAgTeIr structure, computed with GGA-PBE.

Computed properties:
Calculated volume ... 295.6 Å³ per cell
Energy relative to the lowest polymorph listed for this composition ... 0.000 eV/atom

The structure in CIF format:
```
data_MgAgTeIr
_chemical_formula_sum 'Mg4 Ag4 Te4 Ir4'
_cell_length_a 6.6616
_cell_length_b 6.6616
_cell_length_c 6.6616
_cell_angle_alpha 90.00
_cell_angle_beta 90.00
_cell_angle_gamma 90.00
_space_group_name_H-M_alt 'F -4 3 m'
_space_group_IT_number 216
_space_group_name_Hall 'F -4 2 3'
loop_
_atom_site_label
_atom_site_type_symbol
_atom_site_fract_x
_atom_site_fract_y
_atom_site_fract_z
_atom_site_occupancy
Mg1 Mg 0.0000 0.0000 0.0000 1
Ag1 Ag 0.2500 0.2500 0.2500 1
Te1 Te 0.0000 0.0000 0.5000 1
Ir1 Ir 0.2500 0.2500 0.7500 1
```

Entry 7:
A geometry-optimized MgAgIrW structure, computed with GGA-PBE.

Computed properties:
Calculated volume ... 257.5 Å³ per cell
Energy relative to the lowest polymorph listed for this composition ... 0.000 eV/atom

The structure in CIF format:
```
data_MgAgIrW
_chemical_formula_sum 'Mg4 Ag4 Ir4 W4'
_cell_length_a 6.3617
_cell_length_b 6.3617
_cell_length_c 6.3617
_cell_angle_alpha 90.00
_cell_angle_beta 90.00
_cell_angle_gamma 90.00
_space_group_name_H-M_alt 'F -4 3 m'
_space_group_IT_number 216
_space_group_name_Hall 'F -4 2 3'
loop_
_atom_site_label
_atom_site_type_symbol
_atom_site_fract_x
_atom_site_fract_y
_atom_site_fract_z
_atom_site_occupancy
Mg1 Mg 0.0000 0.0000 0.0000 1
Ag1 Ag 0.2500 0.2500 0.2500 1
Ir1 Ir 0.2500 0.2500 0.7500 1
W1 W 0.0000 0.0000 0.5000 1
```

Entry 8:
A geometry-optimized MgAgIrW structure, computed with GGA-PBE.

Computed properties:
Calculated volume ... 253.4 Å³ per cell
Energy relative to the lowest polymorph listed for this composition ... 0.038 eV/atom

The structure in CIF format:
```
data_MgAgIrW
_chemical_formula_sum 'Mg4 Ag4 Ir4 W4'
_cell_length_a 6.3283
_cell_length_b 6.3283
_cell_length_c 6.3283
_cell_angle_alpha 90.00
_cell_angle_beta 90.00
_cell_angle_gamma 90.00
_space_group_name_H-M_alt 'F -4 3 m'
_space_group_IT_number 216
_space_group_name_Hall 'F -4 2 3'
loop_
_atom_site_label
_atom_site_type_symbol
_atom_site_fract_x
_atom_site_fract_y
_atom_site_fract_z
_atom_site_occupancy
Mg1 Mg 0.0000 0.0000 0.0000 1
Ag1 Ag 0.2500 0.2500 0.7500 1
Ir1 Ir 0.0000 0.0000 0.5000 1
W1 W 0.2500 0.2500 0.2500 1
```

Entry 9:
A geometry-optimized Y3Mg3AgIr2 structure, computed with GGA-PBE.

Computed properties:
Calculated volume ... 193.4 Å³ per cell
Electronic total energy ... -5.50 eV/atom

The structure in CIF format:
```
data_Y3Mg3AgIr2
_chemical_formula_sum 'Y3 Mg3 Ag1 Ir2'
_cell_length_a 7.4382
_cell_length_b 7.4382
_cell_length_c 4.0369
_cell_angle_alpha 90.00
_cell_angle_beta 90.00
_cell_angle_gamma 120.00
_space_group_name_H-M_alt 'P -6 2 m'
_space_group_IT_number 189
_space_group_name_Hall 'P -6 -2'
loop_
_atom_site_label
_atom_site_type_symbol
_atom_site_fract_x
_atom_site_fract_y
_atom_site_fract_z
_atom_site_occupancy
Y1 Y 0.0000 0.5790 0.0000 1
Mg1 Mg 0.0000 0.2552 0.5000 1
Ag1 Ag 0.0000 0.0000 0.0000 1
Ir1 Ir 0.3333 0.6667 0.5000 1
```

Entry 10:
A geometry-optimized Ag2MoIr structure, computed with GGA-PBE.

Computed properties:
Calculated volume ... 259.9 Å³ per cell
Energy of formation from the pure elements ... 0.48 eV per atom

The structure in CIF format:
```
data_Ag2MoIr
_chemical_formula_sum 'Ag8 Mo4 Ir4'
_cell_length_a 6.3818
_cell_length_b 6.3818
_cell_length_c 6.3818
_cell_angle_alpha 90.00
_cell_angle_beta 90.00
_cell_angle_gamma 90.00
_space_group_name_H-M_alt 'F -4 3 m'
_space_group_IT_number 216
_space_group_name_Hall 'F -4 2 3'
loop_
_atom_site_label
_atom_site_type_symbol
_atom_site_fract_x
_atom_site_fract_y
_atom_site_fract_z
_atom_site_occupancy
Ag1 Ag 0.0000 0.0000 0.0000 1
Ag2 Ag 0.2500 0.2500 0.2500 1
Mo1 Mo 0.2500 0.2500 0.7500 1
Ir1 Ir 0.0000 0.0000 0.5000 1
```